(1)
Material: CePm8Y5
Method: DFT, GGA-PBE
State: relaxed

Unit cell a=8.5538 b=8.5535 c=8.5538 alpha=111.78 beta=104.95 gamma=111.78
With the nearest neighbours (Å) after each atom.
Sites, in units of the cell vectors:
Pm1 0.3373 0.2727 0.4381  1 Ce 3.12, 3 Y 3.26-3.43
Pm2 0.9354 0.1008 0.6627  1 Ce 3.12, 3 Y 3.26-3.43
Pm3 0.1654 0.7273 0.0646  1 Ce 3.12, 3 Y 3.26-3.43
Pm4 0.6722 0.3961 0.9292  5 Y 3.38-3.59, 3 Pm 3.59-3.70
Pm5 0.0708 0.7430 0.4669  5 Y 3.38-3.59, 3 Pm 3.59-3.70
Pm6 0.5619 0.8992 0.8346  1 Ce 3.12, 3 Y 3.26-3.43
Pm7 0.7239 0.2570 0.3278  5 Y 3.38-3.59, 3 Pm 3.59-3.70
Pm8 0.5331 0.6039 0.2761  5 Y 3.38-3.59, 3 Pm 3.59-3.70
Y1 0.2785 0.0935 0.9625  8 Pm 3.40-3.59, 2 Y 3.52
Y2 0.5000 0.0000 0.5000  8 Pm 3.26-3.38
Y3 0.8151 0.6840 0.7215  8 Pm 3.40-3.59, 2 Y 3.52
Y4 0.0375 0.3160 0.1311  8 Pm 3.40-3.59, 2 Y 3.52
Y5 0.8689 0.9064 0.1850  8 Pm 3.40-3.59, 2 Y 3.52
Ce1 0.2500 0.5000 0.7500  4 Pm 3.12

## Properties
raw total energy	-72.595	eV per cell
theoretical density	6.04	g/cm3
SG	I-4 (82)
energy of formation from the pure elements	0.262	eV per atom
crystal system	tetragonal
total magnetization	1.297	μB/f.u.



(2)
Material: YEr6Tl
Method: DFT, GGA-PBE
State: relaxed

Unit cell a=4.8718 b=4.8718 c=9.9630 alpha=90.00 beta=90.00 gamma=90.00
With the nearest neighbours (Å) after each atom.
Sites, in units of the cell vectors:
Y1 0.0000 0.0000 0.0000  12 Er 3.44-3.52
Er1 0.0000 0.5000 0.2548  8 Er 3.44-3.52, 2 Tl 3.45, 2 Y 3.52
Er2 0.5000 0.5000 0.0000  4 Y 3.44, 8 Er 3.52
Er3 0.5000 0.5000 0.5000  4 Tl 3.44, 8 Er 3.45
Er4 0.5000 0.0000 0.7452  8 Er 3.44-3.52, 2 Tl 3.45, 2 Y 3.52
Er5 0.5000 0.0000 0.2548  8 Er 3.44-3.52, 2 Tl 3.45, 2 Y 3.52
Er6 0.0000 0.5000 0.7452  8 Er 3.44-3.52, 2 Tl 3.45, 2 Y 3.52
Tl1 0.0000 0.0000 0.5000  12 Er 3.44-3.45

## Properties
raw total energy	-36.766	eV per cell
energy above the most stable polymorph in this dataset	0.0000	eV/atom
theoretical density	9.11	g/cm3
SG	P4/mmm (123)
energy of formation from the pure elements	-0.070	eV per atom
crystal system	tetragonal
total magnetization	0.000	μB/f.u.



(3)
Material: HgSeN2O
Method: DFT, GGA-PBE
State: relaxed

Unit cell a=4.3586 b=4.3586 c=4.2052 alpha=90.00 beta=90.00 gamma=90.00
With the nearest neighbours (Å) after each atom.
Sites, in units of the cell vectors:
Se1 0.5000 0.5000 0.5000  8 N 3.03, 4 O 3.08
O1 0.0000 0.0000 0.5000  2 Hg 2.10
N1 0.0000 0.5000 0.0000  2 Hg 2.18
N2 0.5000 0.0000 0.0000  2 Hg 2.18
Hg1 0.0000 0.0000 0.0000  2 O 2.10, 4 N 2.18

## Properties
raw total energy	-14.537	eV per cell
theoretical density	6.73	g/cm3
SG	P4/mmm (123)
crystal system	tetragonal
total magnetization	1.575	μB/f.u.



(4)
Material: KAuS2Cl
Method: DFT, GGA-PBE
State: relaxed

Unit cell a=5.8818 b=5.8818 c=5.6293 alpha=90.00 beta=90.00 gamma=90.00
With the nearest neighbours (Å) after each atom.
Sites, in units of the cell vectors:
S1 0.0000 0.5000 0.0000  2 K 2.94
S2 0.5000 0.0000 0.0000  2 K 2.94
Au1 0.5000 0.5000 0.5000  8 S 4.07, 4 Cl 4.16
K1 0.0000 0.0000 0.0000  2 Cl 2.81, 4 S 2.94
Cl1 0.0000 0.0000 0.5000  2 K 2.81

## Properties
raw total energy	-9.736	eV per cell
energy above the most stable polymorph in this dataset	1.1614	eV/atom
theoretical density	2.86	g/cm3
SG	P4/mmm (123)
crystal system	tetragonal
total magnetization	3.010	μB/f.u.



(5)
Material: Tm6BiPd2
Method: DFT, GGA-PBE
State: relaxed

Unit cell a=8.5444 b=8.5444 c=8.5444 alpha=104.50 beta=110.19 gamma=113.86
With the nearest neighbours (Å) after each atom.
Sites, in units of the cell vectors:
Tm1 0.3056 0.6326 0.3271  3 Pd 2.73-2.97
Tm2 0.3056 0.9785 0.6729  3 Pd 2.73-2.97
Tm3 0.8913 0.7080 0.1832  3 Pd 2.98-3.15, 1 Bi 3.26
Tm4 0.5248 0.7080 0.8168  3 Pd 2.98-3.15, 1 Bi 3.26
Tm5 0.6944 0.3674 0.6729  3 Pd 2.73-2.97
Tm6 0.4752 0.2920 0.1832  3 Pd 2.98-3.15, 1 Bi 3.26
Tm7 0.7936 0.2345 0.0281  1 Pd 2.81
Tm8 0.7936 0.7655 0.5592  1 Pd 2.81
Tm9 0.6944 0.0215 0.3271  3 Pd 2.73-2.97
Tm10 0.1087 0.2920 0.8168  3 Pd 2.98-3.15, 1 Bi 3.26
Tm11 0.2064 0.2345 0.4408  1 Pd 2.81
Tm12 0.2064 0.7655 0.9719  1 Pd 2.81
Bi1 0.0000 0.0000 0.0000  8 Tm 3.18-3.26, 2 Pd 3.38
Bi2 0.0000 0.5000 0.5000  12 Tm 3.38-3.66
Pd1 0.5000 0.3682 0.8682  6 Tm 2.73-2.98, 1 Pd 2.76
Pd2 0.3457 0.0000 0.3457  6 Tm 2.81-2.97, 1 Pd 3.02
Pd3 0.5000 0.6318 0.1318  6 Tm 2.73-2.98, 1 Pd 2.76
Pd4 0.6543 0.0000 0.6543  6 Tm 2.81-2.97, 1 Pd 3.02

## Properties
raw total energy	-92.627	eV per cell
theoretical density	9.99	g/cm3
SG	Immm (71)
energy of formation from the pure elements	-0.580	eV per atom
crystal system	orthorhombic
total magnetization	0.000	μB/f.u.



(6)
Material: TbNd2ScS4
Method: DFT, GGA-PBE
State: relaxed

Unit cell a=3.8880 b=6.7768 c=6.9613 alpha=108.75 beta=90.00 gamma=90.00
With the nearest neighbours (Å) after each atom.
Sites, in units of the cell vectors:
Nd1 0.0000 0.5000 0.5000  6 S 2.91-2.92
Nd2 0.5000 0.0000 0.5000  6 S 2.85
S1 0.5000 0.7672 0.7755  2 Sc 2.67, 1 Tb 2.75, 3 Nd 2.85-2.92
S2 0.0000 0.7518 0.2304  1 Sc 2.67, 2 Tb 2.74, 3 Nd 2.85-2.91
S3 0.5000 0.2328 0.2245  2 Sc 2.67, 1 Tb 2.75, 3 Nd 2.85-2.92
S4 0.0000 0.2482 0.7696  1 Sc 2.67, 2 Tb 2.74, 3 Nd 2.85-2.91
Sc1 0.0000 0.0000 0.0000  6 S 2.67
Tb1 0.5000 0.5000 0.0000  6 S 2.74-2.75

## Properties
raw total energy	-52.717	eV per cell
theoretical density	5.93	g/cm3
SG	P2/m (10)
crystal system	monoclinic
total magnetization	0.000	μB/f.u.